{"formula": "BaYbSn3", "functional": "GGA-PBE", "state": "relaxed", "lattice_angstrom": [[9.270, -0.047, 0.000], [-4.497, 8.106, 0.000], [0.000, 0.000, 17.470]], "species": ["Sn", "Yb", "Ba", "Ba", "Sn", "Sn", "Sn", "Yb", "Sn", "Sn", "Sn", "Sn", "Yb", "Sn", "Ba", "Ba", "Yb", "Ba", "Sn", "Sn", "Ba", "Sn", "Yb", "Ba", "Yb", "Sn", "Yb", "Sn", "Yb", "Sn", "Ba", "Sn", "Sn", "Sn", "Sn", "Sn", "Sn", "Sn", "Sn", "Sn"], "frac_coords": [[0.301, 0.065, 0.594], [0.121, 0.853, 0.773], [0.785, 0.215, 0.000], [0.673, 0.673, 0.086], [0.512, 0.958, 0.164], [0.717, 0.717, 0.778], [0.488, 0.042, 0.836], [0.147, 0.879, 0.227], [0.458, 0.012, 0.336], [0.042, 0.488, 0.836], [0.065, 0.301, 0.594], [0.699, 0.935, 0.406], [0.621, 0.353, 0.727], [0.012, 0.458, 0.336], [0.215, 0.785, 0.000], [0.327, 0.327, 0.914], [0.853, 0.121, 0.773], [0.715, 0.285, 0.500], [0.061, 0.061, 0.086], [0.988, 0.542, 0.664], [0.285, 0.715, 0.500], [0.565, 0.801, 0.906], [0.379, 0.647, 0.273], [0.827, 0.827, 0.586], [0.879, 0.147, 0.227], [0.435, 0.199, 0.094], [0.647, 0.379, 0.273], [0.439, 0.439, 0.586], [0.353, 0.621, 0.727], [0.958, 0.512, 0.164], [0.173, 0.173, 0.414], [0.217, 0.217, 0.722], [0.542, 0.988, 0.664], [0.561, 0.561, 0.414], [0.801, 0.565, 0.906], [0.939, 0.939, 0.914], [0.935, 0.699, 0.406], [0.199, 0.435, 0.094], [0.783, 0.783, 0.278], [0.283, 0.283, 0.222]], "final_energy_ev_per_atom": -3.72, "space_group": "No. 64"}



{"formula": "PdAu", "functional": "GGA-PBE", "state": "relaxed", "lattice_angstrom": [[-1.059, 2.583, 0.255], [-4.742, -0.896, -10.619], [-5.725, -2.622, 2.778]], "species": ["Au", "Pd", "Pd", "Au", "Au", "Pd", "Au", "Au", "Pd", "Pd", "Pd", "Au"], "frac_coords": [[0.000, 0.500, 0.396], [0.500, 0.114, 0.585], [0.500, 0.614, 0.085], [0.000, 0.243, 0.324], [0.000, 0.000, 0.896], [0.000, 0.500, 0.789], [0.000, 0.757, 0.324], [0.000, 0.743, 0.824], [0.500, 0.886, 0.585], [0.500, 0.386, 0.085], [0.000, 0.000, 0.289], [0.000, 0.257, 0.824]], "final_energy_ev_per_atom": -4.10, "space_group": "No. 38"}



{"formula": "Ho2TmSc", "functional": "GGA-PBE", "state": "relaxed", "lattice_angstrom": [[-0.203, -0.270, -3.462], [-0.476, -5.987, 0.496], [-11.042, 0.067, 2.390]], "species": ["Sc", "Ho", "Ho", "Ho", "Ho", "Tm", "Tm", "Sc"], "frac_coords": [[0.292, 0.357, 0.070], [0.672, 0.230, 0.830], [0.913, 0.150, 0.312], [0.413, 0.650, 0.312], [0.172, 0.730, 0.830], [0.544, 0.939, 0.572], [0.043, 0.439, 0.572], [0.792, 0.857, 0.070]], "relative_energy_mev_per_atom": 0.0, "space_group": "No. 8"}